! La2CeSmBi5, relaxed, DFT PBE; values from VASP
! Calculated formation energy: -0.2099 eV/atom
! Space-group type: No. 123
! Total DFT energy (no corrections): -4.645 eV per atom
! DOS(E_F): 12.2 states/eV/cell
&SYSTEM
  ibrav = 0, nat = 9, ntyp = 4
/
ATOMIC_SPECIES
Sm 150.36 Sm.upf
La 138.91 La.upf
Bi 208.98 Bi.upf
Ce 140.12 Ce.upf
CELL_PARAMETERS angstrom
-1.294 5.006 1.968
-5.274 -1.579 0.548
2.316 -3.828 11.261
ATOMIC_POSITIONS crystal
Sm 0.000 0.000 0.500
La 0.500 0.500 0.720
La 0.500 0.500 0.280
Bi 0.500 0.000 0.500
Bi 0.000 0.000 0.247
Bi 0.000 0.000 0.753
Bi 0.000 0.500 0.500
Bi 0.500 0.500 0.000
Ce 0.000 0.000 0.000